ZrMn2Mo: relaxed, PBE.

The structure in CIF format:
```
data_ZrMn2Mo
_chemical_formula_sum 'Zr1 Mn2 Mo1'
_symmetry_space_group_name_H-M 'P 1 2/m 1'
_symmetry_Int_Tables_number 10
_cell_length_a 2.8329
_cell_length_b 4.0268
_cell_length_c 5.4832
_cell_angle_alpha 90.00
_cell_angle_beta 102.69
_cell_angle_gamma 90.00
loop_
_symmetry_equiv_pos_as_xyz
'x,y,z'
'-x,-y,-z'
'-x,y,-z'
'x,-y,z'
loop_
_atom_site_label
_atom_site_fract_x
_atom_site_fract_y
_atom_site_fract_z
Zr1 0.0000 0.0000 0.0000
Mn1 0.2629 0.5000 0.7117
Mo1 0.5000 0.0000 0.5000
```

Calculated values
total magnetization	2.2	μB per formula unit
V	15.26	A^3/atom
formation energy from the elements	184.0	meV/atom
final energy	-9.246	eV/atom